Record 1
Entry from Alexandria: a geometry-optimized TcAg2F structure (GGA-PBEsol).

Cell lengths 4.449, 4.449, 4.449 Å; angles 60.00, 60.00, 60.00 degrees
Positions (direct):
F (0.000, 0.000, 0.000)
Ag (0.250, 0.250, 0.250)
Tc (0.500, 0.500, 0.500)
Ag (0.750, 0.750, 0.750)

- Raw formation energy: 212 kJ/mol of formula units

Record 2
Entry from Alexandria: a geometry-optimized Tc2AgF structure (GGA-PBEsol).

Cell lengths 4.256, 4.256, 4.256 Å; angles 60.00, 60.00, 60.00 degrees
Positions (direct):
Tc (0.250, 0.250, 0.250)
Ag (0.500, 0.500, 0.500)
Tc (0.750, 0.750, 0.750)
F (0.000, 0.000, 0.000)

- Raw formation energy: 318 kJ/mol of formula units

Record 3
Entry from Alexandria: a geometry-optimized Zr2AgTeF structure (GGA-PBEsol).

Cell lengths 4.321, 4.321, 5.258 Å; angles 90.00, 90.00, 90.00 degrees
Positions (direct):
F (0.000, 0.000, 0.000)
Zr (0.000, 0.500, 0.000)
Te (0.000, 0.000, 0.500)
Zr (0.500, 0.000, 0.000)
Ag (0.500, 0.500, 0.500)

- Raw formation energy: -292 kJ/mol of formula units

Record 4
Entry from Alexandria: a geometry-optimized TiAgF6 structure (GGA-PBEsol).

Cell lengths 5.093, 5.275, 5.500 Å; angles 63.83, 89.49, 61.00 degrees
Positions (direct):
F (0.255, 0.144, 0.729)
Ag (0.000, 0.000, 0.000)
F (0.745, 0.856, 0.271)
F (0.568, 0.581, 0.712)
F (0.863, 0.865, 0.741)
F (0.432, 0.419, 0.288)
F (0.137, 0.135, 0.259)
Ti (0.500, 0.000, 0.500)

- Raw formation energy: -1934 kJ/mol of formula units

Record 5
Entry from Alexandria: a geometry-optimized Zr2TiAgF structure (GGA-PBEsol).

Cell lengths 3.961, 5.293, 5.293 Å; angles 90.00, 90.00, 90.00 degrees
Positions (direct):
Ti (0.500, 0.500, 0.500)
Ag (0.000, 0.000, 0.000)
Zr (0.000, 0.000, 0.500)
Zr (0.000, 0.500, 0.000)
F (0.500, 0.000, 0.000)

- Raw formation energy: 358 kJ/mol of formula units

Record 6
Entry from Alexandria: a geometry-optimized TlAgF3 structure (GGA-PBEsol).

Cell lengths 6.694, 6.694, 7.639 Å; angles 80.46, 80.46, 66.52 degrees
Positions (direct):
Tl (0.808, 0.192, 0.750)
F (0.408, 0.831, 0.006)
Ag (0.757, 0.725, 0.092)
F (0.168, 0.078, 0.705)
Tl (0.335, 0.665, 0.750)
F (0.832, 0.922, 0.295)
F (0.849, 0.430, 0.892)
Ag (0.275, 0.243, 0.408)
F (0.430, 0.849, 0.392)
F (0.570, 0.151, 0.608)
F (0.922, 0.832, 0.795)
Tl (0.665, 0.335, 0.250)
F (0.169, 0.592, 0.494)
F (0.151, 0.570, 0.108)
Ag (0.725, 0.757, 0.592)
Tl (0.192, 0.808, 0.250)
F (0.078, 0.168, 0.205)
F (0.592, 0.169, 0.994)
Ag (0.243, 0.275, 0.908)
F (0.831, 0.408, 0.506)

- Raw formation energy: -691 kJ/mol of formula units
- ΔE to the lowest computed polymorph: 0 meV/atom

Across the entries above, magnetic moment takes the values 3.4 0.0 0.0 1.0 3.3 0.0 μB/cell, respectively.
Across the entries above, E_tot takes the values -4.405 -6.119 -5.995 -5.406 -5.606 -3.776 eV/atom, respectively.